This record from Alexandria via LeMat-Bulk describes an optimized crystal structure of ZrTe2Br. The functional is GGA-PBE.

Lattice parameters (Å, degrees): 7.378 7.378 12.212 90.00 90.00 90.00
Space group I-42d (No. 122)
Asymmetric unit:
Zr: 0.000 0.000 0.000 [4 per cell]
Te: 0.187 0.250 0.125 [8 per cell]
Br: 0.000 0.000 0.500 [4 per cell]

Calculated values
The size of the total moment comes out at 0.0 μB/f.u. The calculation puts the energy above the lowest structure with this stoichiometry at 504 meV per atom. Its formation energy without anion corrections is -0.24 eV/atom. The uncorrected energy is -69.786 eV/cell.